DFT (PBE) results for crystalline NaNbSb2 at its relaxed geometry.

Unit cell a=3.467 b=3.467 c=8.044 alpha=90.00 beta=90.00 gamma=90.00
Last column: magnetic moment on the atom in μB.
Sites, in units of the cell vectors:
1 Sb 0.000 0.000 0.205  0.00
2 Sb 0.000 0.000 0.795  0.00
3 Na 0.500 0.500 0.500  0.00
4 Nb 0.500 0.500 0.000  0.36

Properties
- M_tot (μB per cell) = 0.50
- relative energy among the computed polymorphs (kJ/mol of formula units) = 14
- DOS at the Fermi energy (states/eV per atom) = 0.870
- V (Å³ per atom) = 24.17
- formation energy from raw total energies (eV per formula unit) = -0.800